1.
Compound: AcSm2DyY
Source: the Alexandria database
Functional: PBE
Structure: optimized geometry

DFT total energy (eV per cell): -48.82

Cell lengths 6.4469, 5.8823, 9.8697 Å; angles 90.00, 109.06, 90.00 degrees
With the nearest neighbours (Å) after each atom.
Space group P2_1/m (No. 11)
Asymmetric unit:
Ac (0.2305, 0.2500, 0.2984) x2  3 Dy 3.65-3.70, 4 Y 3.66-3.77, 5 Sm 3.67-3.78
Sm (0.3667, 0.7500, 0.9056) x2  5 Sm 3.60-3.65, 4 Dy 3.61-3.71, 2 Ac 3.72-3.77, 1 Y 3.78
Sm (0.4308, 0.2500, 0.7036) x2  3 Sm 3.65, 2 Dy 3.66-3.77, 4 Y 3.66-3.79, 3 Ac 3.67-3.78
Dy (0.0401, 0.2500, 0.9019) x2  6 Sm 3.61-3.77, 2 Dy 3.65, 3 Ac 3.65-3.70, 1 Y 3.75
Y (0.1621, 0.7500, 0.5001) x2  2 Y 3.61, 4 Ac 3.66-3.77, 5 Sm 3.66-3.79, 1 Dy 3.75

=====

2.
Compound: Tb4PmSm7
Source: the Alexandria database
Functional: PBE
Structure: optimized geometry

DFT total energy (eV per cell): -56.25

Cell lengths 6.3033, 7.2763, 8.9800 Å; angles 90.00, 76.29, 89.98 degrees
With the nearest neighbours (Å) after each atom.
Space group P-1 (No. 2)
Asymmetric unit:
Tb (0.2199, 0.0001, 0.3340) x2  4 Tb 3.56-3.64, 8 Sm 3.58-3.64
Tb (0.2788, 0.7514, 0.6665) x2  8 Sm 3.56-3.66, 3 Tb 3.58-3.64, 1 Pm 3.59
Pm (0.0000, 0.5000, 0.0000) x1  2 Tb 3.59, 10 Sm 3.60-3.65
Sm (0.0000, 0.0000, 0.0000) x1  4 Tb 3.58-3.59, 6 Sm 3.59-3.63, 2 Pm 3.64
Sm (0.2216, 0.5001, 0.3339) x2  6 Sm 3.57-3.65, 5 Tb 3.59-3.65, 1 Pm 3.60
Sm (0.2797, 0.2487, 0.6653) x2  6 Tb 3.56-3.66, 5 Sm 3.58-3.65, 1 Pm 3.60
Sm (0.5001, 0.2483, 0.0004) x2  3 Tb 3.58-3.59, 7 Sm 3.59-3.66, 2 Pm 3.64-3.65

=====

3.
Compound: Ca4Pu3CoN8
Source: the Alexandria database
Functional: PBE
Structure: optimized geometry

Uncorrected formation energy (eV/atom): -0.92

Cell lengths 11.7410, 6.7685, 6.8539 Å; angles 90.00, 124.74, 90.00 degrees
With the nearest neighbours (Å) after each atom.
Space group C2/m (No. 12)
Asymmetric unit:
Ca (0.0000, 0.0000, 0.0000) x2  6 N 2.47
Ca (0.0000, 0.5000, 0.0000) x2  6 N 2.51-2.56
Ca (0.2500, 0.2500, 0.0000) x4  6 N 2.51-2.56
Pu (0.0000, 0.0000, 0.5000) x2  6 N 2.26-2.32
Pu (0.2500, 0.2500, 0.5000) x4  6 N 2.27-2.32
Co (0.0000, 0.5000, 0.5000) x2  6 N 2.36-2.38
N (0.0149, 0.2401, 0.2854) x8  2 Pu 2.26-2.27, 1 Co 2.36, 1 Ca 2.47
N (0.2406, 0.0000, 0.7214) x4  3 Pu 2.32, 3 Ca 2.51
N (0.2456, 0.5000, 0.7153) x4  2 Pu 2.27, 1 Co 2.38, 1 Ca 2.47

=====

4.
Compound: NdDy8Ho2
Source: the Alexandria database
Functional: PBE
Structure: optimized geometry

DFT total energy (eV per cell): -98.18

Cell lengths 19.1141, 6.9247, 5.5280 Å; angles 90.00, 92.92, 90.00 degrees
With the nearest neighbours (Å) after each atom.
Space group C2/m (No. 12)
Asymmetric unit:
Nd (0.0000, 0.0000, 0.0000) x2  10 Dy 3.54-3.79
Dy (0.0469, 0.5000, 0.2376) x4  1 Dy 3.10, 1 Ho 3.22
Dy (0.1336, 0.2665, 0.7321) x8  4 Dy 3.23-3.52, 3 Ho 3.42-3.58, 1 Nd 3.54
Dy (0.1885, 0.0000, 0.2331) x4  4 Ho 3.31-3.50, 4 Dy 3.45-3.52
Ho (0.2157, 0.5000, 0.2510) x4  11 Dy 3.22-3.58

=====

5.
Compound: BaZrNi
Source: the Alexandria database
Functional: PBE
Structure: optimized geometry

DFT total energy (eV per cell): -56.88

Cell lengths 6.9244, 6.9244, 6.9244 Å; angles 90.00, 90.00, 90.00 degrees
With the nearest neighbours (Å) after each atom.
Space group F-43m (No. 216)
Asymmetric unit:
Ba (0.0000, 0.0000, 0.0000) x4  4 Ni 3.00
Zr (0.0000, 0.0000, 0.5000) x4  4 Ni 3.00
Ni (0.2500, 0.2500, 0.7500) x4  4 Zr 3.00, 4 Ba 3.00

=====

6.
Compound: RbPd2I7
Source: the Alexandria database
Functional: PBE
Structure: optimized geometry

Uncorrected formation energy (eV/atom): -0.34

Cell lengths 8.0552, 17.6127, 5.7496 Å; angles 90.00, 90.00, 90.00 degrees
With the nearest neighbours (Å) after each atom.
Space group Cmmm (No. 65)
Asymmetric unit:
Rb (0.0000, 0.0000, 0.0000) x2  10 I 4.27-4.33
Pd (0.0000, 0.2546, 0.5000) x4  6 I 2.70-2.88
I (0.0000, 0.2456, 0.0000) x4  2 Pd 2.88
I (0.0000, 0.5000, 0.5000) x2  4 I 3.33
I (0.2328, 0.1442, 0.5000) x8  2 Pd 2.70-2.80

=====

7.
Compound: Ba2UCdPt6
Source: the Alexandria database
Functional: PBE
Structure: optimized geometry

DFT total energy (eV per cell): -217.53

Cell lengths 10.3467, 10.3467, 10.3467 Å; angles 90.00, 90.00, 90.00 degrees
With the nearest neighbours (Å) after each atom.
Space group Fm-3m (No. 225)
Asymmetric unit:
Ba (0.2500, 0.2500, 0.2500) x8  12 Pt 3.66
U (0.0000, 0.0000, 0.0000) x4  6 Pt 2.51
Cd (0.0000, 0.0000, 0.5000) x4  6 Pt 2.66
Pt (0.0000, 0.0000, 0.2431) x24  1 U 2.51, 1 Cd 2.66

=====

8.
Compound: CrAg2Cl
Source: the Alexandria database
Functional: PBE
Structure: optimized geometry

Uncorrected formation energy (eV/atom): 0.18

Cell lengths 3.0776, 4.1397, 12.6018 Å; angles 90.00, 90.00, 90.00 degrees
With the nearest neighbours (Å) after each atom.
Space group Immm (No. 71)
Asymmetric unit:
Cr (0.0000, 0.0000, 0.0000) x2  4 Cl 2.58
Ag (0.0000, 0.5000, 0.2961) x4  6 Ag 2.83-3.08, 2 Cr 2.99
Cl (0.0000, 0.0000, 0.5000) x2  4 Cr 2.58

=====

9.
Compound: NaNp2Se4
Source: the Alexandria database
Functional: PBE
Structure: optimized geometry

Uncorrected formation energy (eV/atom): -1.15

Cell lengths 12.0485, 12.0485, 12.0485 Å; angles 90.00, 90.00, 90.00 degrees
With the nearest neighbours (Å) after each atom.
Space group Fd-3m (No. 227, origin choice 2)
Asymmetric unit:
Na (0.1250, 0.1250, 0.1250) x8  4 Se 2.87
Np (0.0000, 0.0000, 0.5000) x16  6 Se 2.87
Se (0.0126, 0.0126, 0.7374) x32  3 Np 2.87, 1 Na 2.87

=====

10.
Compound: Ce6In3N
Source: the Alexandria database
Functional: PBE
Structure: optimized geometry

Uncorrected formation energy (eV/atom): -0.44

Cell lengths 10.2951, 10.2951, 16.5222 Å; angles 90.00, 90.00, 120.00 degrees
With the nearest neighbours (Å) after each atom.
Space group R-3m (No. 166, hexagonal axes)
Asymmetric unit:
Ce (0.1071, 0.5535, 0.0860) x18  1 N 2.42
Ce (0.1090, 0.5545, 0.7554) x18  1 N 2.48
In (0.1077, 0.2153, 0.7447) x18  3 In 3.33-3.61, 9 Ce 3.35-3.49
N (0.0000, 0.0000, 0.0000) x3  6 Ce 2.48
N (0.0000, 0.0000, 0.5000) x3  6 Ce 2.42

=====

11.
Compound: Nd2CuTc
Source: the Alexandria database
Functional: PBE
Structure: optimized geometry

DFT total energy (eV per cell): -23.88

Cell lengths 3.5401, 3.5401, 7.2668 Å; angles 90.00, 90.00, 90.00 degrees
With the nearest neighbours (Å) after each atom.
Space group P4/mmm (No. 123)
Asymmetric unit:
Nd (0.0000, 0.0000, 0.2365) x2  4 Tc 3.04, 4 Cu 3.15
Cu (0.5000, 0.5000, 0.5000) x1  8 Nd 3.15
Tc (0.5000, 0.5000, 0.0000) x1  8 Nd 3.04

=====

12.
Compound: Ca2GePd3
Source: the Alexandria database
Functional: PBE
Structure: optimized geometry

DFT total energy (eV per cell): -110.80

Cell lengths 11.7952, 8.6486, 5.3439 Å; angles 90.00, 90.00, 90.00 degrees
With the nearest neighbours (Å) after each atom.
Space group Cmcm (No. 63)
Asymmetric unit:
Ca (0.1556, 0.1774, 0.2500) x8  5 Pd 2.84-3.14
Ge (0.0000, 0.3502, 0.7500) x4  5 Pd 2.39-2.50
Pd (0.0000, 0.0732, 0.7500) x4  1 Ge 2.39
Pd (0.1418, 0.5000, 0.0000) x8  2 Ge 2.50, 2 Pd 2.67